K2LaRh3O8: relaxed, PBE.

Values from the calculation:
E   -6.25 eV/atom
Calculated volume   214.05 Å³/f.u.
Space group   R3m
Total magnetic moment   0.000 μB/cell

Cell and atoms, written as extended XYZ:
```
14
Lattice="3.2263 1.8627 5.9361 -3.2263 1.8627 5.9361 0.0000 -3.7254 5.9361" Properties=species:S:1:pos:R:3 pbc="T T T"
K 0.0000 0.0000 0.0000
K 0.0000 0.0000 6.4475
La 0.0000 0.0000 13.7000
Rh 0.0000 -1.8930 9.5305
Rh -1.6394 0.9465 9.5305
Rh 1.6393 0.9465 9.5305
O 0.0000 -1.6719 4.5027
O -1.4479 0.8359 4.5027
O 0.0000 0.0000 2.5620
O -1.4286 -0.8248 8.4585
O 1.4479 0.8359 4.5027
O 0.0000 0.0000 10.6073
O 1.4286 -0.8248 8.4585
O 0.0000 1.6496 8.4585
```